Ca3Ac4Rh2 | PBE | optimized geometry

Values from the calculation:
**E**: -4.4199 eV per atom
**Density**: 5.620 Mg/m³
**Total magnetization**: 0.000 μB per cell
**Relative energy among the computed polymorphs**: 0.000 eV/atom
**Energy of formation**: -0.293 eV per atom
**Volume**: 364.6 Å³/f.u.

Unit cell a=10.228 b=10.228 c=9.962 alpha=118.44 beta=118.44 gamma=23.61
Atoms (fractional coordinates):
Ca1 0.000 0.000 0.000
Ca2 0.357 0.357 0.178
Ca3 0.643 0.643 0.822
Ac1 0.070 0.070 0.425
Ac2 0.298 0.298 0.708
Ac3 0.702 0.702 0.292
Ac4 0.930 0.930 0.575
Rh1 0.319 0.319 0.425
Rh2 0.681 0.681 0.575

***

ThTiNb2 | PBE | optimized geometry

Values from the calculation:
**E**: -8.6641 eV per atom
**Density**: 8.997 Mg/m³
**Total magnetization**: 0.000 μB per cell
**Relative energy among the computed polymorphs**: 0.049 eV/atom
**Energy of formation**: 0.199 eV per atom
**Volume**: 86.0 Å³/f.u.

Unit cell a=3.506 b=3.506 c=6.992 alpha=90.00 beta=90.00 gamma=90.00
Atoms (fractional coordinates):
Th1 0.000 0.000 0.000
Ti1 0.000 0.000 0.500
Nb1 0.500 0.500 0.299
Nb2 0.500 0.500 0.701

***

Which value of total magnetization does entry 2 give? 0.000 μB per cell